## Pd3AuN5 (PBE)

Data for a relaxed Pd3AuN5 crystal. Values from VASP.

Calculated values
The calculation puts the calculated total energy at -5.99 eV per atom. As for the crystal system: hexagonal.

Quantum ESPRESSO input file:
```
&SYSTEM
  ibrav = 0, nat = 9, ntyp = 3
/
ATOMIC_SPECIES
Pd 106.42 Pd.upf
Au 196.97 Au.upf
N 14.01 N.upf
ATOMIC_POSITIONS angstrom
Pd -1.4767 2.5576 0.0000
Pd 2.9533 0.0000 0.0000
Pd 1.4767 2.5576 0.0000
Au 0.0000 0.0000 1.9251
N 0.0000 0.0000 0.0000
N 0.0000 3.4102 1.3188
N 0.0000 3.4102 2.5315
N 2.9533 1.7051 1.3188
N 2.9533 1.7051 2.5315
CELL_PARAMETERS angstrom
5.9066 0.0000 0.0000
-2.9533 5.1153 0.0000
0.0000 0.0000 3.8503
```


## Hf2ZrIn (PBE)

Data for a relaxed Hf2ZrIn crystal. Values from VASP.

Calculated values
The calculation puts the calculated total energy at -7.79 eV per atom. As for the crystal system: cubic.

Quantum ESPRESSO input file:
```
&SYSTEM
  ibrav = 0, nat = 4, ntyp = 3
/
ATOMIC_SPECIES
Hf 178.49 Hf.upf
Zr 91.22 Zr.upf
In 114.82 In.upf
ATOMIC_POSITIONS angstrom
Hf 0.0000 0.0000 0.0000
Hf 1.7658 1.7658 1.7658
Zr 5.2974 5.2974 5.2974
In 3.5316 3.5316 3.5316
CELL_PARAMETERS angstrom
0.0000 3.5316 3.5316
3.5316 0.0000 3.5316
3.5316 3.5316 0.0000
```


## Ag5Pd6Au (PBE)

Data for a relaxed Ag5Pd6Au crystal. Values from VASP.

Calculated values
The calculation puts the calculated total energy at -4.11 eV per atom. As for the crystal system: monoclinic. The formation energy comes out at -0.07 eV/atom.

Quantum ESPRESSO input file:
```
&SYSTEM
  ibrav = 0, nat = 12, ntyp = 3
/
ATOMIC_SPECIES
Ag 107.87 Ag.upf
Pd 106.42 Pd.upf
Au 196.97 Au.upf
ATOMIC_POSITIONS angstrom
Ag 0.0000 0.0000 0.0000
Ag 1.6404 2.8461 4.6519
Ag 2.4639 1.4261 0.0000
Ag 2.4639 -1.4261 0.0000
Ag 1.6404 -2.8461 4.6519
Pd 0.8245 1.4181 2.3242
Pd 0.0021 0.0000 6.9811
Pd 0.8245 -1.4181 2.3242
Pd 2.4563 1.4181 6.9796
Pd 3.2787 0.0000 2.3227
Pd 2.4563 -1.4181 6.9796
Au 1.6404 0.0000 4.6519
CELL_PARAMETERS angstrom
2.4639 -4.2689 0.0000
2.4639 4.2689 0.0000
-1.6469 0.0000 9.3038
```


## LaDy3S6 (PBE)

Data for a relaxed LaDy3S6 crystal. Values from VASP.

Calculated values
The calculation puts the calculated total energy at -6.48 eV per atom. As for the crystal system: monoclinic.

Quantum ESPRESSO input file:
```
&SYSTEM
  ibrav = 0, nat = 20, ntyp = 3
/
ATOMIC_SPECIES
La 138.91 La.upf
Dy 162.50 Dy.upf
S 32.06 S.upf
ATOMIC_POSITIONS angstrom
La -0.1524 1.0044 2.0946
La 7.6077 3.0131 8.6845
Dy -0.3597 1.0044 6.3337
Dy -0.0843 3.0131 10.7651
Dy 3.7115 1.0044 3.5887
Dy 3.7439 3.0131 7.1903
Dy 7.5396 1.0044 0.0139
Dy 7.8150 3.0131 4.4454
S -0.5678 3.0131 4.3871
S -2.1865 1.0044 10.3776
S -0.5487 3.0131 8.0716
S 2.1372 3.0131 2.4673
S 2.3417 1.0044 6.0098
S 4.9050 1.0044 1.1938
S 2.5504 3.0131 9.5852
S 5.1137 3.0131 4.7693
S 5.3182 1.0044 8.3117
S 8.0040 1.0044 2.7074
S 9.6419 3.0131 0.4014
S 8.0232 1.0044 6.3919
CELL_PARAMETERS angstrom
11.1063 0.0000 0.0000
0.0000 4.0175 0.0000
-3.6510 0.0000 10.7790
```


## Tb3Zr4 (PBE)

Data for a relaxed Tb3Zr4 crystal. Values from VASP.

Calculated values
The calculation puts the calculated total energy at -6.80 eV per atom. The polymorph energy (0 for the lowest one) comes out at 0 meV per atom. As for the crystal system: hexagonal. The formation energy comes out at 0.07 eV/atom.

Quantum ESPRESSO input file:
```
&SYSTEM
  ibrav = 0, nat = 14, ntyp = 2
/
ATOMIC_SPECIES
Tb 158.93 Tb.upf
Zr 91.22 Zr.upf
ATOMIC_POSITIONS angstrom
Tb -0.6441 1.9866 1.3322
Tb -2.4435 7.3344 1.3322
Tb 1.3984 1.5511 3.9967
Tb 3.0876 6.2188 1.3322
Tb 6.9294 0.4355 3.9967
Tb 5.1300 5.7833 3.9967
Zr -1.2784 3.8692 3.9967
Zr 0.0000 5.1799 1.3322
Zr -0.4959 6.9424 3.9967
Zr 2.7117 3.0417 1.3322
Zr 1.7743 4.7281 3.9967
Zr 4.9818 0.8275 1.3322
Zr 4.4860 2.5900 3.9967
Zr 5.7643 3.9006 1.3322
CELL_PARAMETERS angstrom
8.9719 0.0000 0.0000
-4.4859 7.7699 0.0000
0.0000 0.0000 5.3289
```


## SiSnIr (PBE)

Data for a relaxed SiSnIr crystal. Values from VASP.

Calculated values
The calculation puts the calculated total energy at -6.33 eV per atom. As for the crystal system: cubic.

Quantum ESPRESSO input file:
```
&SYSTEM
  ibrav = 0, nat = 3, ntyp = 3
/
ATOMIC_SPECIES
Si 28.09 Si.upf
Sn 118.71 Sn.upf
Ir 192.22 Ir.upf
ATOMIC_POSITIONS angstrom
Si 0.0000 0.0000 0.0000
Sn 3.0565 3.0565 3.0565
Ir 1.5282 1.5282 1.5282
CELL_PARAMETERS angstrom
0.0000 3.0565 3.0565
3.0565 0.0000 3.0565
3.0565 3.0565 0.0000
```


## Cu2Ag3 (PBE)

Data for a relaxed Cu2Ag3 crystal. Values from VASP.

Calculated values
The calculation puts the calculated total energy at -3.09 eV per atom. The polymorph energy (0 for the lowest one) comes out at 58 meV per atom. As for the crystal system: monoclinic. The formation energy comes out at 0.09 eV/atom.

Quantum ESPRESSO input file:
```
&SYSTEM
  ibrav = 0, nat = 10, ntyp = 2
/
ATOMIC_SPECIES
Cu 63.55 Cu.upf
Ag 107.87 Ag.upf
ATOMIC_POSITIONS angstrom
Cu 1.2029 0.0000 1.7415
Cu 3.8021 0.0000 2.2756
Cu 9.4342 0.0000 3.2742
Cu 12.0334 0.0000 3.8082
Ag 0.5969 0.0000 4.3983
Ag 3.3380 0.0000 4.9053
Ag 7.1586 0.0000 0.0000
Ag 6.6182 0.0000 2.7749
Ag 9.8983 0.0000 0.6444
Ag 12.6394 0.0000 1.1514
CELL_PARAMETERS angstrom
7.1586 -1.9576 0.0000
7.1586 1.9576 0.0000
-1.0808 0.0000 5.5497
```


## SmBS3 (PBE)

Data for a relaxed SmBS3 crystal. Values from VASP.

Calculated values
The calculation puts the calculated total energy at -5.99 eV per atom. As for the crystal system: orthorhombic.

Quantum ESPRESSO input file:
```
&SYSTEM
  ibrav = 0, nat = 20, ntyp = 3
/
ATOMIC_SPECIES
Sm 150.36 Sm.upf
B 10.81 B.upf
S 32.06 S.upf
ATOMIC_POSITIONS angstrom
Sm 0.8756 0.3775 0.0000
Sm 2.8359 3.4065 4.4405
Sm 4.5871 2.6514 0.0000
Sm 6.5474 5.6803 4.4405
B 1.0784 3.6283 1.5098
B 2.6331 0.5993 5.9503
B 4.7899 5.4585 1.5098
B 6.3446 2.4296 5.9503
S 0.0155 2.3611 4.5172
S 1.2937 5.0394 2.6461
S 1.5126 5.2379 6.2119
S 2.1989 2.2090 1.7714
S 2.4178 2.0105 7.0867
S 3.6960 5.3901 0.0766
S 3.7270 0.6678 4.5172
S 5.0052 4.0473 2.6461
S 5.2241 3.8488 6.2119
S 5.9104 0.8199 1.7714
S 6.1293 1.0184 7.0867
S 7.4075 3.6967 0.0766
CELL_PARAMETERS angstrom
7.4230 0.0000 0.0000
0.0000 6.0578 0.0000
0.0000 0.0000 8.8811
```